No. 1
# Te4WCl6 PBE-GGA optimized geometry
data_Te4WCl6
_symmetry_space_group_name_H-M 'C 1 2/c 1'
_symmetry_Int_Tables_number 15
_cell_length_a 12.054
_cell_length_b 21.155
_cell_length_c 12.046
_cell_angle_alpha 90.00
_cell_angle_beta 117.23
_cell_angle_gamma 90.00
loop_
_symmetry_equiv_pos_as_xyz
'x,y,z'
'-x,-y,-z'
'-x,y,-z+1/2'
'x,-y,z+1/2'
'x+1/2,y+1/2,z'
'-x+1/2,-y+1/2,-z'
'-x+1/2,y+1/2,-z+1/2'
'x+1/2,-y+1/2,z+1/2'
loop_
_atom_site_label
_atom_site_type_symbol
_atom_site_fract_x
_atom_site_fract_y
_atom_site_fract_z
_atom_site_occupancy
Te1 Te 0.032 0.087 0.143 1
Te2 Te 0.067 0.213 0.425 1
Te3 Te 0.211 0.350 0.493 1
Te4 Te 0.217 0.383 0.723 1
W1 W 0.217 0.385 0.108 1
Cl1 Cl 0.059 0.442 0.125 1
Cl2 Cl 0.063 0.341 0.919 1
Cl3 Cl 0.134 0.176 0.910 1
Cl4 Cl 0.136 0.070 0.705 1
Cl5 Cl 0.184 0.301 0.220 1
Cl6 Cl 0.249 0.467 0.994 1
# - mass density (Mg/m³) = 4.4
# - total DFT energy (no corrections) (eV per atom) = -3.845

No. 2
# Th2Cl13 PBE-GGA optimized geometry
data_Th2Cl13
_symmetry_space_group_name_H-M 'P -1'
_symmetry_Int_Tables_number 2
_cell_length_a 5.585
_cell_length_b 8.480
_cell_length_c 11.600
_cell_angle_alpha 108.18
_cell_angle_beta 101.78
_cell_angle_gamma 98.45
loop_
_symmetry_equiv_pos_as_xyz
'x,y,z'
'-x,-y,-z'
loop_
_atom_site_label
_atom_site_type_symbol
_atom_site_fract_x
_atom_site_fract_y
_atom_site_fract_z
_atom_site_occupancy
Th1 Th 0.156 0.132 0.263 1
Cl1 Cl 0.000 0.000 0.000 1
Cl2 Cl 0.026 0.173 0.751 1
Cl3 Cl 0.179 0.321 0.489 1
Cl4 Cl 0.180 0.436 0.223 1
Cl5 Cl 0.370 0.857 0.780 1
Cl6 Cl 0.429 0.965 0.565 1
Cl7 Cl 0.452 0.500 0.081 1
# - mass density (Mg/m³) = 3.1
# - total DFT energy (no corrections) (eV per atom) = -3.910

No. 3
# ThCl4 PBE-GGA optimized geometry
data_ThCl4
_symmetry_space_group_name_H-M 'I 41/a'
_symmetry_Int_Tables_number 88
_cell_length_a 6.460
_cell_length_b 6.460
_cell_length_c 12.968
_cell_angle_alpha 90.00
_cell_angle_beta 90.00
_cell_angle_gamma 90.00
loop_
_symmetry_equiv_pos_as_xyz
'x,y,z'
'-x,-y,-z'
'-y+3/4,x+1/4,z+1/4'
'y+3/4,-x+1/4,-z+1/4'
'-x+1/2,-y,z+1/2'
'x+1/2,y,-z+1/2'
'y+3/4,-x+3/4,z+3/4'
'-y+3/4,x+3/4,-z+3/4'
'x+1/2,y+1/2,z+1/2'
'-x+1/2,-y+1/2,-z+1/2'
'-y+1/4,x+3/4,z+3/4'
'y+1/4,-x+3/4,-z+3/4'
'-x,-y+1/2,z'
'x,y+1/2,-z'
'y+1/4,-x+1/4,z+1/4'
'-y+1/4,x+1/4,-z+1/4'
loop_
_atom_site_label
_atom_site_type_symbol
_atom_site_fract_x
_atom_site_fract_y
_atom_site_fract_z
_atom_site_occupancy
Th1 Th 0.000 0.250 0.125 1
Cl1 Cl 0.166 0.030 0.297 1
# - mass density (Mg/m³) = 4.6
# - total DFT energy (no corrections) (eV per atom) = -5.120

No. 4
# TlWCl6 PBE-GGA optimized geometry
data_TlWCl6
_symmetry_space_group_name_H-M 'C 1 2/c 1'
_symmetry_Int_Tables_number 15
_cell_length_a 11.757
_cell_length_b 6.275
_cell_length_c 12.007
_cell_angle_alpha 90.00
_cell_angle_beta 101.73
_cell_angle_gamma 90.00
loop_
_symmetry_equiv_pos_as_xyz
'x,y,z'
'-x,-y,-z'
'-x,y,-z+1/2'
'x,-y,z+1/2'
'x+1/2,y+1/2,z'
'-x+1/2,-y+1/2,-z'
'-x+1/2,y+1/2,-z+1/2'
'x+1/2,-y+1/2,z+1/2'
loop_
_atom_site_label
_atom_site_type_symbol
_atom_site_fract_x
_atom_site_fract_y
_atom_site_fract_z
_atom_site_occupancy
Tl1 Tl 0.000 0.111 0.250 1
W1 W 0.250 0.250 0.000 1
Cl1 Cl 0.077 0.387 0.893 1
Cl2 Cl 0.149 0.054 0.539 1
Cl3 Cl 0.212 0.415 0.164 1
# - mass density (Mg/m³) = 4.6
# - total DFT energy (no corrections) (eV per atom) = -4.195

No. 5
# Tl2WCl3 PBE-GGA optimized geometry
data_Tl2WCl3
_symmetry_space_group_name_H-M 'P -4 m 2'
_symmetry_Int_Tables_number 115
_cell_length_a 4.064
_cell_length_b 4.064
_cell_length_c 9.872
_cell_angle_alpha 90.00
_cell_angle_beta 90.00
_cell_angle_gamma 90.00
loop_
_symmetry_equiv_pos_as_xyz
'x,y,z'
'y,-x,-z'
'-x,-y,z'
'-y,x,-z'
'-x,y,z'
'-y,-x,-z'
'x,-y,z'
'y,x,-z'
loop_
_atom_site_label
_atom_site_type_symbol
_atom_site_fract_x
_atom_site_fract_y
_atom_site_fract_z
_atom_site_occupancy
Tl1 Tl 0.000 0.500 0.205 1
W1 W 0.000 0.000 0.500 1
Cl1 Cl 0.000 0.500 0.883 1
Cl2 Cl 0.500 0.500 0.500 1
# - mass density (Mg/m³) = 7.1
# - total DFT energy (no corrections) (eV per atom) = -3.705

No. 6
# Tl3ZnCl6 PBE-GGA optimized geometry
data_Tl3ZnCl6
_symmetry_space_group_name_H-M 'F m -3 m'
_symmetry_Int_Tables_number 225
_symmetry_space_group_name_Hall '-F 4 2 3'
_cell_length_a 10.431
_cell_length_b 10.431
_cell_length_c 10.431
_cell_angle_alpha 90.00
_cell_angle_beta 90.00
_cell_angle_gamma 90.00
loop_
_atom_site_label
_atom_site_type_symbol
_atom_site_fract_x
_atom_site_fract_y
_atom_site_fract_z
_atom_site_occupancy
Tl1 Tl 0.000 0.000 0.000 1
Tl2 Tl 0.250 0.250 0.250 1
Zn1 Zn 0.000 0.000 0.500 1
Cl1 Cl 0.000 0.000 0.265 1
# - mass density (Mg/m³) = 5.2
# - total DFT energy (no corrections) (eV per atom) = -2.856

No. 7
# Tl2ZnCl4 PBE-GGA optimized geometry
data_Tl2ZnCl4
_symmetry_space_group_name_H-M 'P 1 21/m 1'
_symmetry_Int_Tables_number 11
_cell_length_a 7.038
_cell_length_b 7.138
_cell_length_c 9.062
_cell_angle_alpha 90.00
_cell_angle_beta 109.35
_cell_angle_gamma 90.00
loop_
_symmetry_equiv_pos_as_xyz
'x,y,z'
'-x,-y,-z'
'-x,y+1/2,-z'
'x,-y+1/2,z'
loop_
_atom_site_label
_atom_site_type_symbol
_atom_site_fract_x
_atom_site_fract_y
_atom_site_fract_z
_atom_site_occupancy
Tl1 Tl 0.206 0.250 0.040 1
Tl2 Tl 0.280 0.250 0.572 1
Zn1 Zn 0.221 0.750 0.790 1
Cl1 Cl 0.005 0.001 0.726 1
Cl2 Cl 0.391 0.750 0.053 1
Cl3 Cl 0.429 0.750 0.644 1
# - mass density (Mg/m³) = 4.8
# - total DFT energy (no corrections) (eV per atom) = -3.014

No. 8
# Tl2ZnCl4 PBE-GGA optimized geometry
data_Tl2ZnCl4
_symmetry_space_group_name_H-M 'P 1 21 1'
_symmetry_Int_Tables_number 4
_cell_length_a 7.176
_cell_length_b 7.259
_cell_length_c 8.847
_cell_angle_alpha 90.00
_cell_angle_beta 108.70
_cell_angle_gamma 90.00
loop_
_symmetry_equiv_pos_as_xyz
'x,y,z'
'-x,y+1/2,-z'
loop_
_atom_site_label
_atom_site_type_symbol
_atom_site_fract_x
_atom_site_fract_y
_atom_site_fract_z
_atom_site_occupancy
Tl1 Tl 0.218 0.000 0.050 1
Tl2 Tl 0.269 0.993 0.567 1
Zn1 Zn 0.223 0.536 0.797 1
Cl1 Cl 0.009 0.268 0.272 1
Cl2 Cl 0.037 0.274 0.744 1
Cl3 Cl 0.400 0.570 0.061 1
Cl4 Cl 0.416 0.561 0.636 1
# - mass density (Mg/m³) = 4.7
# - total DFT energy (no corrections) (eV per atom) = -3.016

No. 9
# TlZnCl3 PBE-GGA optimized geometry
data_TlZnCl3
_symmetry_space_group_name_H-M 'P 1'
_symmetry_Int_Tables_number 1
_cell_length_a 6.289
_cell_length_b 6.675
_cell_length_c 8.327
_cell_angle_alpha 67.64
_cell_angle_beta 88.18
_cell_angle_gamma 84.01
loop_
_symmetry_equiv_pos_as_xyz
'x,y,z'
loop_
_atom_site_label
_atom_site_type_symbol
_atom_site_fract_x
_atom_site_fract_y
_atom_site_fract_z
_atom_site_occupancy
Tl1 Tl 0.000 0.000 0.000 1
Tl2 Tl 0.496 0.245 0.497 1
Zn1 Zn 0.462 0.510 0.898 1
Zn2 Zn 0.959 0.653 0.599 1
Cl1 Cl 0.302 0.739 0.633 1
Cl2 Cl 0.315 0.565 0.126 1
Cl3 Cl 0.482 0.166 0.913 1
Cl4 Cl 0.805 0.627 0.865 1
Cl5 Cl 0.806 0.926 0.372 1
Cl6 Cl 0.978 0.324 0.583 1
# - relative energy among the computed polymorphs (eV/atom) = 0.000
# - mass density (Mg/m³) = 3.9

No. 10
# TlZnCl3 PBE-GGA optimized geometry
data_TlZnCl3
_symmetry_space_group_name_H-M 'C 1 2/m 1'
_symmetry_Int_Tables_number 12
_cell_length_a 12.051
_cell_length_b 6.964
_cell_length_c 6.047
_cell_angle_alpha 90.00
_cell_angle_beta 95.12
_cell_angle_gamma 90.00
loop_
_symmetry_equiv_pos_as_xyz
'x,y,z'
'-x,-y,-z'
'-x,y,-z'
'x,-y,z'
'x+1/2,y+1/2,z'
'-x+1/2,-y+1/2,-z'
'-x+1/2,y+1/2,-z'
'x+1/2,-y+1/2,z'
loop_
_atom_site_label
_atom_site_type_symbol
_atom_site_fract_x
_atom_site_fract_y
_atom_site_fract_z
_atom_site_occupancy
Tl1 Tl 0.165 0.000 0.242 1
Zn1 Zn 0.000 0.500 0.000 1
Zn2 Zn 0.000 0.500 0.500 1
Cl1 Cl 0.082 0.257 0.767 1
Cl2 Cl 0.162 0.500 0.283 1
# - relative energy among the computed polymorphs (eV/atom) = 0.073
# - mass density (Mg/m³) = 4.9

Question: Among the records above, which one has the highest mass density?
Answer: Tl2WCl3

Question: The highest mass density belongs to which entry?
Answer: Tl2WCl3

Question: Which value of mass density does entry 2 give?
Answer: 3.1 Mg/m³

What did the sixth record say?
# Tl3ZnCl6 PBE-GGA optimized geometry
data_Tl3ZnCl6
_symmetry_space_group_name_H-M 'F m -3 m'
_symmetry_Int_Tables_number 225
_symmetry_space_group_name_Hall '-F 4 2 3'
_cell_length_a 10.431
_cell_length_b 10.431
_cell_length_c 10.431
_cell_angle_alpha 90.00
_cell_angle_beta 90.00
_cell_angle_gamma 90.00
loop_
_atom_site_label
_atom_site_type_symbol
_atom_site_fract_x
_atom_site_fract_y
_atom_site_fract_z
_atom_site_occupancy
Tl1 Tl 0.000 0.000 0.000 1
Tl2 Tl 0.250 0.250 0.250 1
Zn1 Zn 0.000 0.000 0.500 1
Cl1 Cl 0.000 0.000 0.265 1
# - mass density (Mg/m³) = 5.2
# - total DFT energy (no corrections) (eV per atom) = -2.856